Here is a crystal of CaFe2Se relaxed with PBEsol from Alexandria via LeMat-Bulk. Energies are from SCAN.

Computed properties:
Total moment = 4.1 μB per formula unit
Uncorrected energy = -131.13 eV per cell
Raw formation energy = 0.109 eV per atom
ΔE to the lowest computed polymorph = 0.186 eV/atom
Calculated volume = 16.896 Å³/atom

Lattice parameters (Å, degrees): 3.266 4.917 8.417 90.00 90.00 90.00
Space group Imm2 (No. 44)
One atom of each set of equivalent atoms:
Ca: 0.000 0.000 0.000 x2
Fe: 0.000 0.000 0.508 x2
Fe: 0.000 0.500 0.808 x2
Se: 0.000 0.500 0.212 x2